# PBE DyHg6, optimized geometry
data_DyHg6
_chemical_formula_sum 'Dy1 Hg6'
_cell_length_a 4.891
_cell_length_b 4.891
_cell_length_c 7.551
_cell_angle_alpha 90.00
_cell_angle_beta 90.00
_cell_angle_gamma 90.00
_symmetry_space_group_name_H-M 'P 4/m m m'
_symmetry_Int_Tables_number 123
_symmetry_space_group_name_Hall '-P 4 2'
loop_
_atom_site_label
_atom_site_type_symbol
_atom_site_fract_x
_atom_site_fract_y
_atom_site_fract_z
Dy1 Dy 0.000 0.000 0.000
Hg1 Hg 0.000 0.000 0.500
Hg2 Hg 0.000 0.500 0.272
Hg3 Hg 0.500 0.500 0.000
# - Excess energy over the best structure of this formula in the dataset: 0.00 eV/f.u.
# - Mass density: 12.56 g/cm3
# - Formation energy from the elements: -0.162 eV per atom
# - Magnetization: 0.00 μB/atom



# PBE Li2Nd2Cd3, optimized geometry
data_Li2Nd2Cd3
_chemical_formula_sum 'Li4 Nd4 Cd6'
_cell_length_a 4.076
_cell_length_b 23.953
_cell_length_c 3.476
_cell_angle_alpha 90.00
_cell_angle_beta 90.00
_cell_angle_gamma 90.00
_symmetry_space_group_name_H-M 'C m m m'
_symmetry_Int_Tables_number 65
_symmetry_space_group_name_Hall '-C 2 2'
loop_
_atom_site_label
_atom_site_type_symbol
_atom_site_fract_x
_atom_site_fract_y
_atom_site_fract_z
Li1 Li 0.000 0.218 0.000
Nd1 Nd 0.000 0.083 0.000
Cd1 Cd 0.000 0.331 0.500
Cd2 Cd 0.000 0.500 0.500
# - Mass density: 6.26 g/cm3
# - Formation energy from the elements: -0.218 eV per atom
# - Magnetization: 0.00 μB/atom